{"formula": "Li6CdAu10", "functional": "PBE-GGA", "state": "optimized geometry", "e_tot_ev_per_cell": -51.95, "dos_ef_per_ev_atom": 0.184, "cell": [[7.7534, 0.0000, 0.0000], [-3.8767, 6.7146, 0.0000], [0.0000, 0.0000, 5.4996]], "species": ["Li", "Li", "Li", "Li", "Li", "Li", "Cd", "Au", "Au", "Au", "Au", "Au", "Au", "Au", "Au", "Au", "Au"], "fractional_positions": [[0.0000, 0.3677, 0.3037], [0.0000, 0.6323, 0.6963], [0.3677, 0.0000, 0.3037], [0.3677, 0.3677, 0.6963], [0.6323, 0.0000, 0.6963], [0.6323, 0.6323, 0.3037], [0.0000, 0.0000, 0.5000], [0.0000, 0.2931, 0.8165], [0.0000, 0.7069, 0.1835], [0.2931, 0.0000, 0.8165], [0.2931, 0.2931, 0.1835], [0.3333, 0.6667, 0.0000], [0.3333, 0.6667, 0.5000], [0.6667, 0.3333, 0.0000], [0.6667, 0.3333, 0.5000], [0.7069, 0.0000, 0.1835], [0.7069, 0.7069, 0.8165]]}